Record 1
LaPr6Dy3Tm2, relaxed, DFT PBE; energy of formation from the pure elements = 0.21 eV/f.u.; symmetry = No. 12; E_tot = -56.14 eV per formula unit
1.0
3.1597 -5.4735 0.0000
3.1597 5.4735 0.0000
-2.1065 0.0000 11.7778
La Pr Dy Tm
1 6 3 2
Direct
0.0000 0.0000 0.0000 La
0.0842 0.4186 0.2514 Pr
0.2500 0.2500 0.7485 Pr
0.4186 0.0842 0.2514 Pr
0.5814 0.9158 0.7486 Pr
0.7500 0.7500 0.2515 Pr
0.9158 0.5814 0.7486 Pr
0.1671 0.8329 0.5000 Dy
0.5000 0.5000 0.5000 Dy
0.8329 0.1671 0.5000 Dy
0.3335 0.6665 0.0000 Tm
0.6665 0.3335 0.0000 Tm

***

Record 2
NpGa4Pd2Au, relaxed, DFT PBE; energy of formation from the pure elements = -2.48 eV/f.u.; symmetry = No. 166; E_tot = -41.19 eV per formula unit
1.0
2.1635 1.2491 8.9183
-2.1635 1.2491 8.9183
0.0000 -2.4982 8.9183
Np Ga Pd Au
1 4 2 1
Direct
0.0000 0.0000 0.0000 Np
0.1222 0.1222 0.1222 Ga
0.3949 0.3949 0.3949 Ga
0.6051 0.6051 0.6051 Ga
0.8778 0.8778 0.8778 Ga
0.2448 0.2448 0.2448 Pd
0.7552 0.7552 0.7552 Pd
0.5000 0.5000 0.5000 Au

***

What is the E_tot in the first record? -56.14 eV per formula unit